## CoPdIO2 (GGA-PBEsol)

Data for a relaxed structure of CoPdIO2.

Summary:
Energy relative to the elements, uncorrected ... 456 meV/atom
Size of the total moment ... 3.5 μB/cell
Crystal system ... tetragonal
DOS at the Fermi energy ... 6.8 states/eV/f.u.
Volume ... 95 Å³ per cell

Lattice parameters (Å, degrees): 3.7488 3.7488 6.7282 90.00 90.00 90.00
Each line ends with the local moment (μB).
Atoms (fractional coordinates):
O  0.0000  0.5000  0.0000  0.37
O  0.5000  0.0000  0.0000  0.37
Pd  0.0000  0.0000  0.0000  0.54
I  0.0000  0.0000  0.5000  0.09
Co  0.5000  0.5000  0.5000  1.86

## Ag2HCl (GGA-PBEsol)

Data for a relaxed structure of Ag2HCl.

Summary:
Size of the total moment ... 0.0 μB/cell
Crystal system ... cubic
DOS at the Fermi energy ... 1.0 states/eV/f.u.
Uncorrected energy ... -2.58 eV/atom
Volume ... 61 Å³ per cell

Lattice parameters (Å, degrees): 4.4099 4.4099 4.4099 60.00 60.00 60.00
Atoms (fractional coordinates):
H  0.0000  0.0000  0.0000
Cl  0.5000  0.5000  0.5000
Ag  0.7500  0.7500  0.7500
Ag  0.2500  0.2500  0.2500

## TiV3O8 (GGA-PBEsol)

Data for a relaxed structure of TiV3O8.

Summary:
Energy relative to the elements, uncorrected ... -2539 meV/atom
Size of the total moment ... 3.0 μB/cell
Crystal system ... monoclinic
DOS at the Fermi energy ... 4.7 states/eV/f.u.
Volume ... 135 Å³ per cell

Lattice parameters (Å, degrees): 3.7119 6.2558 6.3761 106.26 90.00 107.26
Each line ends with the local moment (μB).
Atoms (fractional coordinates):
O  0.2384  0.4768  0.3510  -0.01
O  0.6367  0.2735  0.9967  -0.03
O  0.4436  0.8871  0.6389  -0.07
O  0.7639  0.5279  0.6559  -0.02
O  0.1340  0.2680  0.6978  -0.04
O  0.8696  0.7393  0.3017  -0.04
O  0.3592  0.7184  0.9962  -0.11
O  0.5564  0.1127  0.3650  -0.02
Ti  0.6983  0.3965  0.2852  0.15
V  0.5999  0.1997  0.7028  0.89
V  0.3985  0.7969  0.2931  1.02
V  0.3015  0.6030  0.7157  1.08

## TiNb2SiPd (GGA-PBEsol)

Data for a relaxed structure of TiNb2SiPd.

Summary:
Energy relative to the elements, uncorrected ... 1029 meV/atom
Size of the total moment ... 0.0 μB/cell
Crystal system ... tetragonal
DOS at the Fermi energy ... 5.4 states/eV/f.u.
Volume ... 95 Å³ per cell

Lattice parameters (Å, degrees): 4.5790 4.5505 4.5505 90.00 90.00 90.00
Atoms (fractional coordinates):
Nb  0.0000  0.0000  0.5000
Nb  0.0000  0.5000  0.0000
Pd  0.5000  0.5000  0.5000
Ti  0.0000  0.0000  0.0000
Si  0.5000  0.0000  0.0000

## TlIn2ReO (GGA-PBEsol)

Data for a relaxed structure of TlIn2ReO.

Summary:
Energy relative to the elements, uncorrected ... 981 meV/atom
Size of the total moment ... 2.0 μB/cell
Crystal system ... tetragonal
DOS at the Fermi energy ... 7.6 states/eV/f.u.
Volume ... 139 Å³ per cell

Lattice parameters (Å, degrees): 5.1515 5.1515 5.2225 90.00 90.00 90.00
Each line ends with the local moment (μB).
Atoms (fractional coordinates):
O  0.5000  0.5000  0.5000  1.02
In  0.5000  0.0000  0.0000  0.01
In  0.0000  0.5000  0.0000  0.01
Re  0.0000  0.0000  0.0000  0.67
Tl  0.0000  0.0000  0.5000  0.01

## TmTa5Ag2O15 (GGA-PBEsol)

Data for a relaxed structure of TmTa5Ag2O15.

Summary:
Energy relative to the elements, uncorrected ... -2520 meV/atom
Size of the total moment ... 0.0 μB/cell
Crystal system ... tetragonal
DOS at the Fermi energy ... 0.0 states/eV/f.u.
Volume ... 600 Å³ per cell

Lattice parameters (Å, degrees): 3.8807 12.4367 12.4367 90.00 90.00 90.00
Atoms (fractional coordinates):
O  0.0000  0.0567  0.1295
O  0.5000  0.4218  0.3152
O  0.0000  0.5567  0.3705
O  0.0000  0.9985  0.6597
O  0.0000  0.9433  0.8705
O  0.0000  0.2738  0.2262
O  0.0000  0.1597  0.4985
O  0.5000  0.0782  0.8152
O  0.0000  0.6597  0.0015
O  0.0000  0.5015  0.1597
O  0.0000  0.0015  0.3403
O  0.5000  0.8152  0.9218
O  0.5000  0.1848  0.0782
O  0.5000  0.0000  0.5000
O  0.0000  0.2262  0.7262
O  0.0000  0.3705  0.4433
O  0.0000  0.8705  0.0567
O  0.0000  0.3403  0.9985
O  0.0000  0.7262  0.7738
O  0.0000  0.8403  0.5015
O  0.5000  0.3152  0.5782
O  0.5000  0.9218  0.1848
O  0.0000  0.4433  0.6295
O  0.0000  0.4985  0.8403
O  0.5000  0.5000  0.0000
O  0.0000  0.1295  0.9433
O  0.0000  0.6295  0.5567
O  0.5000  0.6848  0.4218
O  0.5000  0.5782  0.6848
O  0.0000  0.7738  0.2738
Ta  0.0000  0.7088  0.4187
Ta  0.0000  0.5000  0.0000
Ta  0.0000  0.7912  0.9187
Ta  0.0000  0.5813  0.7088
Ta  0.0000  0.2088  0.0813
Ta  0.0000  0.9187  0.2088
Ta  0.0000  0.0813  0.7912
Ta  0.0000  0.2912  0.5813
Ta  0.0000  0.4187  0.2912
Ta  0.0000  0.0000  0.5000
Ag  0.5000  0.8428  0.6572
Ag  0.5000  0.3428  0.8428
Ag  0.5000  0.1572  0.3428
Ag  0.5000  0.6572  0.1572
Tm  0.5000  0.5000  0.5000
Tm  0.5000  0.0000  0.0000

## Ca2GePt2 (GGA-PBEsol)

Data for a relaxed structure of Ca2GePt2.

Summary:
E_form ... -0.943 eV/atom
Size of the total moment ... 0.0 μB/cell
Crystal system ... monoclinic
DOS at the Fermi energy ... 2.3 states/eV/f.u.
Volume ... 206 Å³ per cell

Lattice parameters (Å, degrees): 5.5423 5.5423 7.8876 79.61 79.61 60.54
Atoms (fractional coordinates):
Pt  0.0042  0.7393  0.0004
Pt  0.7393  0.0042  0.5004
Pt  0.9958  0.2607  0.9996
Pt  0.2607  0.9958  0.4996
Ca  0.4801  0.2158  0.1528
Ca  0.2158  0.4801  0.6528
Ca  0.7842  0.5199  0.3472
Ca  0.5199  0.7842  0.8472
Ge  0.1229  0.8771  0.2500
Ge  0.8771  0.1229  0.7500

## MgSnP2O7 (GGA-PBEsol)

Data for a relaxed structure of MgSnP2O7.

Summary:
Energy relative to the elements, uncorrected ... -2224 meV/atom
Size of the total moment ... 0.0 μB/cell
Crystal system ... monoclinic
DOS at the Fermi energy ... 0.0 states/eV/f.u.
Volume ... 565 Å³ per cell

Lattice parameters (Å, degrees): 7.0186 9.2699 9.2284 90.00 109.85 90.00
Atoms (fractional coordinates):
O  0.7300  0.1778  0.0864
O  0.6456  0.6782  0.4642
O  0.9167  0.1805  0.3721
O  0.3544  0.3218  0.5358
O  0.7300  0.3222  0.5864
O  0.4897  0.3627  0.9031
O  0.1008  0.2252  0.1856
O  0.4897  0.1373  0.4031
O  0.1008  0.2748  0.6856
O  0.2700  0.8222  0.9136
O  0.5057  0.0980  0.8303
O  0.6456  0.8218  0.9642
O  0.0833  0.8195  0.6279
O  0.1394  0.9171  0.2798
O  0.4943  0.9020  0.1697
O  0.9167  0.3195  0.8721
O  0.0833  0.6805  0.1279
O  0.8992  0.7252  0.3144
O  0.8606  0.4171  0.2202
O  0.5057  0.4020  0.3303
O  0.5103  0.6373  0.0969
O  0.4943  0.5980  0.6697
O  0.8606  0.0829  0.7202
O  0.1394  0.5829  0.7798
O  0.5103  0.8627  0.5969
O  0.3544  0.1782  0.0358
O  0.8992  0.7748  0.8144
O  0.2700  0.6778  0.4136
P  0.0938  0.7435  0.7758
P  0.5147  0.2940  0.4567
P  0.4853  0.7060  0.5433
P  0.9062  0.2565  0.2242
P  0.5147  0.2060  0.9567
P  0.4853  0.7940  0.0433
P  0.0938  0.7565  0.2758
P  0.9062  0.2435  0.7242
Sn  0.2106  0.1031  0.5572
Sn  0.2106  0.3969  0.0572
Sn  0.7894  0.6031  0.9428
Sn  0.7894  0.8969  0.4428
Mg  0.6932  0.5541  0.2962
Mg  0.3068  0.0541  0.2038
Mg  0.6932  0.9459  0.7962
Mg  0.3068  0.4459  0.7038